The following is a DFT calculation (PBE) of a geometry-optimized YSc2P2 structure.

Cell lengths 7.337, 7.337, 3.638 Å; angles 90.00, 90.00, 90.00 degrees
Space group P4/mbm (No. 127)
Symmetry-distinct sites (fractional):
Y 0.000 0.000 0.000 (multiplicity 2)
Sc 0.152 0.348 0.500 (multiplicity 4)
P 0.147 0.647 0.000 (multiplicity 4)

Summary:
ρ (g cm⁻³): 4.08
V (Å³/atom): 19.585
Final energy (eV per cell): -71.5
Calculated formation energy (meV/atom): -1160

The following is a DFT calculation (PBE) of a geometry-optimized NaGeN2 structure.

Cell lengths 8.254, 6.193, 5.464 Å; angles 90.00, 131.40, 90.00 degrees
Space group C2/c (No. 15)
Symmetry-distinct sites (fractional):
Na 0.000 0.000 0.250 (multiplicity 4)
Ge 0.000 0.500 0.250 (multiplicity 4)
N 0.149 0.351 0.149 (multiplicity 8)

Summary:
ρ (g cm⁻³): 3.92
Uncorrected formation energy (kcal/mol of atoms): 8.330
V (Å³/atom): 13.094
Final energy (eV per cell): -84.6

The following is a DFT calculation (PBE) of a geometry-optimized Th2TeAu structure.

Cell lengths 6.250, 6.251, 12.408 Å; angles 90.04, 90.05, 90.03 degrees
Space group P-1 (No. 2)
Symmetry-distinct sites (fractional):
Th 0.000 0.249 0.114 (multiplicity 2)
Th 0.000 0.251 0.636 (multiplicity 2)
Th 0.500 0.249 0.386 (multiplicity 2)
Th 0.500 0.251 0.864 (multiplicity 2)
Te 0.000 0.249 0.375 (multiplicity 2)
Te 0.500 0.249 0.125 (multiplicity 2)
Au 0.000 0.251 0.875 (multiplicity 2)
Au 0.500 0.251 0.625 (multiplicity 2)

Summary:
ρ (g cm⁻³): 10.80
Uncorrected formation energy (kcal/mol of atoms): -18.639
V (Å³/atom): 30.301
Final energy (eV per cell): -98.0

The following is a DFT calculation (PBE) of a geometry-optimized LaSbPtCl structure.

Cell lengths 4.5525, 4.5525, 36.3375 Å; angles 90.00, 90.00, 120.00 degrees
Space group R-3m (No. 166, hexagonal axes)
Symmetry-distinct sites (fractional):
La 0.0000 0.0000 0.0934 (multiplicity 6)
Sb 0.0000 0.0000 0.3011 (multiplicity 6)
Pt 0.0000 0.0000 0.3789 (multiplicity 6)
Cl 0.0000 0.0000 0.1993 (multiplicity 6)

Summary:
ρ (g cm⁻³): 7.50
Uncorrected formation energy (kcal/mol of atoms): -31.871
V (Å³/atom): 27.175
Final energy (eV per cell): -134.8

The following is a DFT calculation (PBE) of a geometry-optimized BaAuF3 structure.

Cell lengths 5.064, 5.064, 5.064 Å; angles 90.00, 90.00, 90.00 degrees
Space group Pm-3m (No. 221)
Symmetry-distinct sites (fractional):
Ba 0.000 0.000 0.000 (multiplicity 1)
Au 0.500 0.500 0.500 (multiplicity 1)
F 0.000 0.000 0.500 (multiplicity 3)

Summary:
ρ (g cm⁻³): 5.00
Uncorrected formation energy (kcal/mol of atoms): -44.641
V (Å³/atom): 25.979
Final energy (eV per cell): -20.5

The following is a DFT calculation (PBE) of a geometry-optimized Ca2Al4SiAu3 structure.

Cell lengths 4.275, 4.275, 11.032 Å; angles 90.00, 90.00, 90.00 degrees
Space group P-4m2 (No. 115)
Symmetry-distinct sites (fractional):
Ca 0.000 0.500 0.245 (multiplicity 2)
Al 0.000 0.000 0.500 (multiplicity 1)
Al 0.000 0.500 0.866 (multiplicity 2)
Al 0.500 0.500 0.500 (multiplicity 1)
Si 0.500 0.500 0.000 (multiplicity 1)
Au 0.000 0.000 0.000 (multiplicity 1)
Au 0.000 0.500 0.637 (multiplicity 2)

Summary:
ρ (g cm⁻³): 6.65
Uncorrected formation energy (kcal/mol of atoms): -12.619
V (Å³/atom): 20.163
Final energy (eV per cell): -39.7

The following is a DFT calculation (PBE) of a geometry-optimized Mg3ReTc structure.

Cell lengths 4.850, 4.850, 4.850 Å; angles 90.00, 90.00, 90.00 degrees
Space group Pm-3m (No. 221)
Symmetry-distinct sites (fractional):
Mg 0.000 0.000 0.500 (multiplicity 3)
Re 0.500 0.500 0.500 (multiplicity 1)
Tc 0.000 0.000 0.000 (multiplicity 1)

Summary:
ρ (g cm⁻³): 5.20
V (Å³/atom): 22.820
Final energy (eV per cell): -19.3
Calculated formation energy (meV/atom): 1668

The following is a DFT calculation (PBE) of a geometry-optimized Y2ScNb structure.

Cell lengths 3.2430, 3.2430, 34.0085 Å; angles 90.00, 90.00, 120.00 degrees
Space group R-3m (No. 166, hexagonal axes)
Symmetry-distinct sites (fractional):
Y 0.0000 0.0000 0.0859 (multiplicity 6)
Sc 0.0000 0.0000 0.5000 (multiplicity 3)
Nb 0.0000 0.0000 0.0000 (multiplicity 3)

Summary:
ρ (g cm⁻³): 5.08
V (Å³/atom): 25.812
Final energy (eV per cell): -81.7
Calculated formation energy (meV/atom): 522

The following is a DFT calculation (PBE) of a geometry-optimized AcSmCl2 structure.

Cell lengths 3.7314, 3.7314, 30.1298 Å; angles 90.00, 90.00, 120.00 degrees
Space group R-3m (No. 166, hexagonal axes)
Symmetry-distinct sites (fractional):
Ac 0.0000 0.0000 0.0000 (multiplicity 3)
Sm 0.0000 0.0000 0.5000 (multiplicity 3)
Cl 0.0000 0.0000 0.1015 (multiplicity 6)

Summary:
ρ (g cm⁻³): 6.15
Uncorrected formation energy (kcal/mol of atoms): -30.136
V (Å³/atom): 30.276
Final energy (eV per cell): -53.2

The following is a DFT calculation (PBE) of a geometry-optimized Pm8CuPd2 structure.

Cell lengths 18.380, 5.218, 6.839 Å; angles 90.00, 108.50, 90.00 degrees
Space group C2/m (No. 12)
Symmetry-distinct sites (fractional):
Pm 0.028 0.000 0.289 (multiplicity 4)
Pm 0.092 0.500 0.966 (multiplicity 4)
Pm 0.172 0.500 0.502 (multiplicity 4)
Pm 0.201 0.000 0.839 (multiplicity 4)
Cu 0.000 0.500 0.500 (multiplicity 2)
Pd 0.172 0.000 0.235 (multiplicity 4)

Summary:
ρ (g cm⁻³): 7.67
V (Å³/atom): 28.270
Final energy (eV per cell): -111.5
Calculated formation energy (meV/atom): -299

The following is a DFT calculation (PBE) of a geometry-optimized LaY2Tl structure.

Cell lengths 3.6471, 3.6471, 32.9052 Å; angles 90.00, 90.00, 120.00 degrees
Space group R-3m (No. 166, hexagonal axes)
Symmetry-distinct sites (fractional):
La 0.0000 0.0000 0.0000 (multiplicity 3)
Y 0.0000 0.0000 0.2444 (multiplicity 6)
Tl 0.0000 0.0000 0.5000 (multiplicity 3)

Summary:
ρ (g cm⁻³): 6.85
V (Å³/atom): 31.587
Final energy (eV per cell): -62.2
Calculated formation energy (meV/atom): -130

The following is a DFT calculation (PBE) of a geometry-optimized YFeSi3 structure.

Cell lengths 5.183, 5.183, 5.183 Å; angles 90.00, 90.00, 90.00 degrees
Space group Pm-3m (No. 221)
Symmetry-distinct sites (fractional):
Y 0.000 0.000 0.000 (multiplicity 1)
Fe 0.500 0.500 0.500 (multiplicity 1)
Si 0.000 0.000 0.500 (multiplicity 3)

Summary:
ρ (g cm⁻³): 2.73
Uncorrected formation energy (kcal/mol of atoms): 44.754
V (Å³/atom): 27.847
Final energy (eV per cell): -21.5